(1)
Material: MgTlCF2
Method: DFT, PBE
State: relaxed

Summary:
Uncorrected formation energy = -0.0990 eV/atom
Uncorrected energy = -3.48 eV/atom

abc: 4.5526 4.5526 4.0984
angles: 90.00 90.00 90.00
Closest atoms and distances in Å follow each position.
Fractional coordinates of all 5 atoms:
Mg: 0.0000 0.0000 0.0000  2 C 2.05
Tl: 0.5000 0.5000 0.0000  8 F 3.06, 4 Mg 3.22
C: 0.0000 0.0000 0.5000  2 Mg 2.05, 4 F 2.28
F: 0.0000 0.5000 0.5000  2 C 2.28
F: 0.5000 0.0000 0.5000  2 C 2.28

(2)
Material: PmPrPa
Method: DFT, PBE
State: relaxed

Summary:
Uncorrected energy = -6.15 eV/atom

abc: 3.4157 3.4157 16.0473
angles: 90.00 90.00 90.00
Closest atoms and distances in Å follow each position.
Fractional coordinates of all 6 atoms:
Pm: 0.0000 0.0000 0.0000  4 Pm 3.42, 4 Pa 3.42
Pm: 0.5000 0.5000 0.5000  4 Pm 3.42, 4 Pa 3.42
Pr: 0.0000 0.0000 0.3045  4 Pr 3.42, 4 Pa 3.45
Pr: 0.5000 0.5000 0.8045  4 Pr 3.42, 4 Pa 3.45
Pa: 0.0000 0.0000 0.6510  4 Pa 3.42, 4 Pm 3.42, 4 Pr 3.45
Pa: 0.5000 0.5000 0.1510  4 Pa 3.42, 4 Pm 3.42, 4 Pr 3.45

(3)
Material: Cr3P5
Method: DFT, PBE
State: relaxed

Summary:
Uncorrected energy = -6.91 eV/atom

abc: 7.3897 7.3897 4.6309
angles: 90.00 90.00 120.00
Closest atoms and distances in Å follow each position.
Fractional coordinates of all 16 atoms:
Cr: 0.0000 0.3770 0.2500  9 P 2.45-2.61
Cr: 0.0000 0.6230 0.7500  9 P 2.45-2.61
Cr: 0.3770 0.0000 0.2500  9 P 2.45-2.61
Cr: 0.3770 0.3770 0.7500  9 P 2.45-2.61
Cr: 0.6230 0.0000 0.7500  9 P 2.45-2.61
Cr: 0.6230 0.6230 0.2500  9 P 2.45-2.61
P: 0.0000 0.2694 0.7500  5 Cr 2.45-2.61
P: 0.0000 0.7306 0.2500  5 Cr 2.45-2.61
P: 0.2694 0.0000 0.7500  5 Cr 2.45-2.61
P: 0.2694 0.2694 0.2500  5 Cr 2.45-2.61
P: 0.3333 0.6667 0.0000  2 P 2.32, 6 Cr 2.59
P: 0.3333 0.6667 0.5000  2 P 2.32, 6 Cr 2.59
P: 0.6667 0.3333 0.0000  2 P 2.32, 6 Cr 2.59
P: 0.6667 0.3333 0.5000  2 P 2.32, 6 Cr 2.59
P: 0.7306 0.0000 0.2500  5 Cr 2.45-2.61
P: 0.7306 0.7306 0.7500  5 Cr 2.45-2.61

(4)
Material: PuAs2Pt
Method: DFT, PBE
State: relaxed

Summary:
Uncorrected energy = -7.98 eV/atom

abc: 4.4675 4.4675 3.7662
angles: 90.00 90.00 90.00
Closest atoms and distances in Å follow each position.
Fractional coordinates of all 4 atoms:
Pu: 0.0000 0.0000 0.0000  8 As 2.92, 4 Pt 3.16
As: 0.0000 0.5000 0.5000  4 Pt 2.92, 4 Pu 2.92, 4 As 3.16
As: 0.5000 0.0000 0.5000  4 Pt 2.92, 4 Pu 2.92, 4 As 3.16
Pt: 0.5000 0.5000 0.0000  8 As 2.92, 4 Pu 3.16

(5)
Material: GeAs2OsBr
Method: DFT, PBE
State: relaxed

Summary:
Uncorrected formation energy = 1.5779 eV/atom
Uncorrected energy = -3.79 eV/atom

abc: 4.9378 4.9378 4.9133
angles: 90.00 90.00 90.00
Closest atoms and distances in Å follow each position.
Fractional coordinates of all 5 atoms:
Ge: 0.0000 0.0000 0.0000  2 Br 2.46, 4 As 2.47
As: 0.0000 0.5000 0.0000  2 Ge 2.47
As: 0.5000 0.0000 0.0000  2 Ge 2.47
Os: 0.5000 0.5000 0.5000  8 As 3.48, 4 Br 3.49
Br: 0.0000 0.0000 0.5000  2 Ge 2.46

(6)
Material: YMnTlPd2
Method: DFT, PBE
State: relaxed

Summary:
Uncorrected energy = -4.89 eV/atom

abc: 5.0932 5.0932 5.3490
angles: 90.00 90.00 90.00
Closest atoms and distances in Å follow each position.
Fractional coordinates of all 5 atoms:
Y: 0.0000 0.0000 0.0000  4 Pd 2.55, 2 Mn 2.67
Mn: 0.0000 0.0000 0.5000  2 Y 2.67
Tl: 0.5000 0.5000 0.5000  4 Mn 3.60, 8 Pd 3.69
Pd: 0.0000 0.5000 0.0000  2 Y 2.55
Pd: 0.5000 0.0000 0.0000  2 Y 2.55

(7)
Material: CdBiTe2N
Method: DFT, PBE
State: relaxed

Summary:
Uncorrected formation energy = 0.8442 eV/atom
Uncorrected energy = -3.04 eV/atom

abc: 5.7717 5.7717 4.2014
angles: 90.00 90.00 90.00
Closest atoms and distances in Å follow each position.
Fractional coordinates of all 5 atoms:
Cd: 0.0000 0.0000 0.0000  2 N 2.10
Bi: 0.5000 0.5000 0.5000  8 Te 3.57
Te: 0.0000 0.5000 0.0000  2 Cd 2.89
Te: 0.5000 0.0000 0.0000  2 Cd 2.89
N: 0.0000 0.0000 0.5000  2 Cd 2.10

(8)
Material: Hg2HF8
Method: DFT, PBE
State: relaxed

Summary:
Uncorrected energy = -2.66 eV/atom

abc: 5.9767 5.9767 4.5022
angles: 101.94 101.94 83.54
Closest atoms and distances in Å follow each position.
Fractional coordinates of all 11 atoms:
Hg: 0.2226 0.7774 0.0000  4 F 2.21-2.23
Hg: 0.7774 0.2226 0.0000  4 F 2.21-2.23
H: 0.5000 0.5000 0.5000  2 F 1.16
F: 0.1067 0.1067 0.2693  2 Hg 2.21
F: 0.1575 0.4064 0.8503  1 F 1.98
F: 0.3547 0.6453 0.5000  1 H 1.16
F: 0.4064 0.1575 0.8503  1 F 1.98
F: 0.5936 0.8425 0.1497  1 F 1.98
F: 0.6453 0.3547 0.5000  1 H 1.16
F: 0.8425 0.5936 0.1497  1 F 1.98
F: 0.8933 0.8933 0.7307  2 Hg 2.21

(9)
Material: Sc2Ta2Rh
Method: DFT, PBE
State: relaxed

Summary:
Uncorrected energy = -8.73 eV/atom

abc: 6.5970 6.5970 4.7063
angles: 90.00 90.00 90.00
Closest atoms and distances in Å follow each position.
Fractional coordinates of all 10 atoms:
Sc: 0.1610 0.3390 0.0000  6 Ta 2.97-3.10, 1 Sc 3.00
Sc: 0.3390 0.8390 0.0000  6 Ta 2.97-3.10, 1 Sc 3.00
Sc: 0.6610 0.1610 0.0000  6 Ta 2.97-3.10, 1 Sc 3.00
Sc: 0.8390 0.6610 0.0000  6 Ta 2.97-3.10, 1 Sc 3.00
Ta: 0.1446 0.6446 0.5000  2 Rh 2.53, 1 Ta 2.70
Ta: 0.3554 0.1446 0.5000  2 Rh 2.53, 1 Ta 2.70
Ta: 0.6446 0.8554 0.5000  2 Rh 2.53, 1 Ta 2.70
Ta: 0.8554 0.3554 0.5000  2 Rh 2.53, 1 Ta 2.70
Rh: 0.0000 0.0000 0.5000  4 Ta 2.53
Rh: 0.5000 0.5000 0.5000  4 Ta 2.53

(10)
Material: Co4SbTe2
Method: DFT, PBE
State: relaxed

Summary:
Uncorrected formation energy = 0.8302 eV/atom
Uncorrected energy = -4.72 eV/atom

abc: 4.7013 4.7013 13.1709
angles: 90.00 90.00 90.00
Closest atoms and distances in Å follow each position.
Fractional coordinates of all 14 atoms:
Co: 0.0000 0.0000 0.1881  1 Te 2.44, 1 Sb 2.48
Co: 0.0000 0.0000 0.8119  1 Te 2.44, 1 Sb 2.48
Co: 0.0000 0.5000 0.0000  2 Sb 2.35
Co: 0.0000 0.5000 0.5000  2 Sb 2.35
Co: 0.5000 0.0000 0.0000  2 Sb 2.35
Co: 0.5000 0.0000 0.5000  2 Sb 2.35
Co: 0.5000 0.5000 0.3119  1 Te 2.44, 1 Sb 2.48
Co: 0.5000 0.5000 0.6881  1 Te 2.44, 1 Sb 2.48
Sb: 0.0000 0.0000 0.0000  6 Co 2.35-2.48
Sb: 0.5000 0.5000 0.5000  6 Co 2.35-2.48
Te: 0.0000 0.0000 0.3735  1 Co 2.44
Te: 0.0000 0.0000 0.6265  1 Co 2.44
Te: 0.5000 0.5000 0.1265  1 Co 2.44
Te: 0.5000 0.5000 0.8735  1 Co 2.44

(11)
Material: NaMg3Se
Method: DFT, PBE
State: relaxed

Summary:
Uncorrected formation energy = 0.0105 eV/atom
Uncorrected energy = -1.91 eV/atom

abc: 5.2841 5.2841 5.2841
angles: 90.00 90.00 90.00
Closest atoms and distances in Å follow each position.
Fractional coordinates of all 5 atoms:
Na: 0.0000 0.0000 0.0000  12 Mg 3.74
Mg: 0.0000 0.5000 0.5000  2 Se 2.64
Mg: 0.5000 0.0000 0.5000  2 Se 2.64
Mg: 0.5000 0.5000 0.0000  2 Se 2.64
Se: 0.5000 0.5000 0.5000  6 Mg 2.64

(12)
Material: DyTiOs2
Method: DFT, PBE
State: relaxed

Summary:
Uncorrected energy = -9.06 eV/atom

abc: 3.2006 3.2006 6.7191
angles: 90.00 90.00 90.00
Closest atoms and distances in Å follow each position.
Fractional coordinates of all 4 atoms:
Dy: 0.0000 0.0000 0.0000  8 Os 2.95, 4 Dy 3.20
Ti: 0.0000 0.0000 0.5000  8 Os 2.70
Os: 0.5000 0.5000 0.2820  4 Ti 2.70, 1 Os 2.93, 4 Dy 2.95
Os: 0.5000 0.5000 0.7180  4 Ti 2.70, 1 Os 2.93, 4 Dy 2.95

(13)
Material: Cs3Ac3TaS8
Method: DFT, PBE
State: relaxed

Summary:
Uncorrected formation energy = -1.6197 eV/atom
Uncorrected energy = -5.60 eV/atom

abc: 9.6300 9.6300 9.6300
angles: 52.60 52.60 52.60
Closest atoms and distances in Å follow each position.
Fractional coordinates of all 15 atoms:
Cs: 0.0000 0.5000 0.5000  6 S 3.50-3.56
Cs: 0.5000 0.0000 0.5000  6 S 3.50-3.56
Cs: 0.5000 0.5000 0.0000  6 S 3.50-3.56
Ac: 0.0000 0.0000 0.5000  6 S 2.96-3.01
Ac: 0.0000 0.5000 0.0000  6 S 2.96-3.01
Ac: 0.5000 0.0000 0.0000  6 S 2.96-3.01
Ta: 0.5000 0.5000 0.5000  6 S 2.56
S: 0.2331 0.2331 0.2331  3 Ac 2.96
S: 0.2708 0.7010 0.7010  1 Ta 2.56
S: 0.2990 0.2990 0.7292  1 Ta 2.56
S: 0.2990 0.7292 0.2990  1 Ta 2.56
S: 0.7010 0.2708 0.7010  1 Ta 2.56
S: 0.7010 0.7010 0.2708  1 Ta 2.56
S: 0.7292 0.2990 0.2990  1 Ta 2.56
S: 0.7669 0.7669 0.7669  3 Ac 2.96

(14)
Material: InGa2Sn4
Method: DFT, PBE
State: relaxed

Summary:
Uncorrected energy = -3.47 eV/atom

abc: 5.6359 12.4414 5.2508
angles: 90.00 90.00 90.00
Closest atoms and distances in Å follow each position.
Fractional coordinates of all 14 atoms:
In: 0.0000 0.0000 0.0000  4 Sn 3.20
In: 0.5000 0.5000 0.0000  4 Sn 3.20
Ga: 0.0000 0.3976 0.5000  1 Ga 2.55
Ga: 0.0000 0.6024 0.5000  1 Ga 2.55
Ga: 0.5000 0.1024 0.5000  1 Ga 2.55
Ga: 0.5000 0.8976 0.5000  1 Ga 2.55
Sn: 0.0000 0.1477 0.5000  3 Ga 2.87-3.11, 2 In 3.20
Sn: 0.0000 0.3046 0.0000  2 Ga 2.87, 2 Sn 3.13
Sn: 0.0000 0.6954 0.0000  2 Ga 2.87, 2 Sn 3.13
Sn: 0.0000 0.8523 0.5000  3 Ga 2.87-3.11, 2 In 3.20
Sn: 0.5000 0.1954 0.0000  2 Ga 2.87, 2 Sn 3.13
Sn: 0.5000 0.3523 0.5000  3 Ga 2.87-3.11, 2 In 3.20
Sn: 0.5000 0.6477 0.5000  3 Ga 2.87-3.11, 2 In 3.20
Sn: 0.5000 0.8046 0.0000  2 Ga 2.87, 2 Sn 3.13

(15)
Material: Cd2AuBr
Method: DFT, PBE
State: relaxed

Summary:
Uncorrected formation energy = -0.0623 eV/atom
Uncorrected energy = -1.76 eV/atom

abc: 4.0260 4.0260 12.7196
angles: 90.00 90.00 90.00
Closest atoms and distances in Å follow each position.
Fractional coordinates of all 8 atoms:
Cd: 0.0000 0.0000 0.0000  4 Br 2.85
Cd: 0.0000 0.5000 0.2500  4 Au 2.85
Cd: 0.5000 0.0000 0.7500  4 Au 2.85
Cd: 0.5000 0.5000 0.5000  4 Br 2.85
Au: 0.0000 0.5000 0.7500  4 Cd 2.85
Au: 0.5000 0.0000 0.2500  4 Cd 2.85
Br: 0.0000 0.0000 0.5000  4 Cd 2.85
Br: 0.5000 0.5000 0.0000  4 Cd 2.85

(16)
Material: Pm3ZnCo8
Method: DFT, PBE
State: relaxed

Summary:
Uncorrected energy = -6.09 eV/atom

abc: 8.7931 8.7931 8.7931
angles: 33.34 33.34 33.34
Closest atoms and distances in Å follow each position.
Fractional coordinates of all 12 atoms:
Pm: 0.0000 0.0000 0.0000  12 Co 2.96-3.06, 4 Pm 3.16-3.19
Pm: 0.1280 0.1280 0.1280  12 Co 2.83-2.98, 3 Zn 3.04
Pm: 0.6177 0.6177 0.6177  12 Co 2.91-3.19, 1 Zn 3.03, 3 Pm 3.16
Zn: 0.4961 0.4961 0.4961  12 Co 2.83-2.97, 4 Pm 3.03-3.04
Co: 0.0608 0.0608 0.5554  6 Co 2.46-2.58
Co: 0.0608 0.5554 0.0608  6 Co 2.46-2.58
Co: 0.0691 0.5624 0.5624  6 Co 2.49-2.58
Co: 0.3117 0.3117 0.3117  6 Co 2.58
Co: 0.5554 0.0608 0.0608  6 Co 2.46-2.58
Co: 0.5624 0.0691 0.5624  6 Co 2.49-2.58
Co: 0.5624 0.5624 0.0691  6 Co 2.49-2.58
Co: 0.8130 0.8130 0.8130  6 Co 2.46-2.51

(17)
Material: CsAuF4
Method: DFT, PBE
State: relaxed

Summary:
Uncorrected formation energy = -1.7743 eV/atom
Uncorrected energy = -3.71 eV/atom

abc: 7.7653 7.7653 7.7653
angles: 137.17 127.61 69.90
Closest atoms and distances in Å follow each position.
Fractional coordinates of all 12 atoms:
Cs: 0.2188 0.2188 0.0000  6 F 2.99-3.26
Cs: 0.7812 0.7812 0.0000  6 F 2.99-3.26
Au: 0.0000 0.5000 0.5000  4 F 1.97
Au: 0.5000 0.0000 0.5000  4 F 1.96-1.97
F: 0.0860 0.3881 0.6979  1 Au 1.97
F: 0.2138 0.0000 0.2138  1 Au 1.96
F: 0.3098 0.6119 0.6979  1 Au 1.97
F: 0.3450 0.8450 0.5000  1 Au 1.97
F: 0.6550 0.1550 0.5000  1 Au 1.97
F: 0.6902 0.3881 0.3021  1 Au 1.97
F: 0.7862 0.0000 0.7862  1 Au 1.96
F: 0.9140 0.6119 0.3021  1 Au 1.97

(18)
Material: Al4PbS7
Method: DFT, PBE
State: relaxed

Summary:
Uncorrected formation energy = -0.9897 eV/atom
Uncorrected energy = -4.95 eV/atom

abc: 15.1953 6.4035 5.9927
angles: 90.00 90.00 90.00
Closest atoms and distances in Å follow each position.
Fractional coordinates of all 24 atoms:
Al: 0.1226 0.1594 0.0000  4 S 2.22-2.31
Al: 0.2456 0.6797 0.9890  4 S 2.20-2.32
Al: 0.2544 0.3203 0.4890  4 S 2.20-2.32
Al: 0.3774 0.8406 0.5000  4 S 2.22-2.31
Al: 0.6226 0.8406 0.5000  4 S 2.22-2.31
Al: 0.7456 0.3203 0.4890  4 S 2.20-2.32
Al: 0.7544 0.6797 0.9890  4 S 2.20-2.32
Al: 0.8774 0.1594 0.0000  4 S 2.22-2.31
Pb: 0.0000 0.5015 0.4565  3 S 2.79-2.88
Pb: 0.5000 0.4985 0.9565  3 S 2.79-2.88
S: 0.0000 0.3452 0.9067  2 Al 2.28
S: 0.1217 0.8305 0.8853  2 Al 2.20-2.22
S: 0.1233 0.1859 0.3809  2 Al 2.26-2.29
S: 0.2459 0.3355 0.8751  3 Al 2.31-2.32
S: 0.2541 0.6645 0.3751  3 Al 2.31-2.32
S: 0.3767 0.8141 0.8809  2 Al 2.26-2.29
S: 0.3783 0.1695 0.3853  2 Al 2.20-2.22
S: 0.5000 0.6548 0.4067  2 Al 2.28
S: 0.6217 0.1695 0.3853  2 Al 2.20-2.22
S: 0.6233 0.8141 0.8809  2 Al 2.26-2.29
S: 0.7459 0.6645 0.3751  3 Al 2.31-2.32
S: 0.7541 0.3355 0.8751  3 Al 2.31-2.32
S: 0.8767 0.1859 0.3809  2 Al 2.26-2.29
S: 0.8783 0.8305 0.8853  2 Al 2.20-2.22

(19)
Material: BaLaBF2
Method: DFT, PBE
State: relaxed

Summary:
Uncorrected formation energy = -1.3376 eV/atom
Uncorrected energy = -4.79 eV/atom

abc: 4.5474 4.5474 8.6217
angles: 90.00 90.00 90.00
Closest atoms and distances in Å follow each position.
Fractional coordinates of all 5 atoms:
Ba: 0.0000 0.0000 0.0000  4 B 3.22
La: 0.0000 0.0000 0.5000  4 F 2.27
B: 0.5000 0.5000 0.0000  4 Ba 3.22
F: 0.0000 0.5000 0.5000  2 La 2.27
F: 0.5000 0.0000 0.5000  2 La 2.27

(20)
Material: Ac2Tb5Dy6
Method: DFT, PBE
State: relaxed

Summary:
Uncorrected energy = -4.42 eV/atom

abc: 11.9229 20.3760 3.6468
angles: 90.00 90.00 90.00
Closest atoms and distances in Å follow each position.
Fractional coordinates of all 26 atoms:
Ac: 0.1624 0.2219 0.0000  4 Dy 3.58-4.00, 6 Tb 3.60-3.93, 2 Ac 3.65
Ac: 0.3376 0.7219 0.0000  4 Dy 3.58-4.00, 6 Tb 3.60-3.93, 2 Ac 3.65
Ac: 0.6624 0.2781 0.0000  4 Dy 3.58-4.00, 6 Tb 3.60-3.93, 2 Ac 3.65
Ac: 0.8376 0.7781 0.0000  4 Dy 3.58-4.00, 6 Tb 3.60-3.93, 2 Ac 3.65
Tb: 0.0000 0.5000 0.5000  6 Dy 3.25-3.46
Tb: 0.0986 0.7831 0.5000  5 Dy 3.29-3.49, 4 Ac 3.60-3.61, 2 Tb 3.65
Tb: 0.2004 0.0525 0.5000  7 Dy 3.59-3.76, 3 Tb 3.65-3.73, 2 Ac 3.93
Tb: 0.2996 0.5525 0.5000  7 Dy 3.59-3.76, 3 Tb 3.65-3.73, 2 Ac 3.93
Tb: 0.4014 0.2831 0.5000  5 Dy 3.29-3.49, 4 Ac 3.60-3.61, 2 Tb 3.65
Tb: 0.5000 0.0000 0.5000  6 Dy 3.25-3.46
Tb: 0.5986 0.7169 0.5000  5 Dy 3.29-3.49, 4 Ac 3.60-3.61, 2 Tb 3.65
Tb: 0.7004 0.4475 0.5000  7 Dy 3.59-3.76, 3 Tb 3.65-3.73, 2 Ac 3.93
Tb: 0.7996 0.9475 0.5000  7 Dy 3.59-3.76, 3 Tb 3.65-3.73, 2 Ac 3.93
Tb: 0.9014 0.2169 0.5000  5 Dy 3.29-3.49, 4 Ac 3.60-3.61, 2 Tb 3.65
Dy: 0.0597 0.9253 0.0000  5 Dy 3.36-3.69, 6 Tb 3.46-3.63
Dy: 0.0744 0.6378 0.0000  6 Tb 3.46-3.68, 1 Ac 3.58, 4 Dy 3.58-3.65
Dy: 0.1822 0.3815 0.5000  2 Tb 3.25-3.29, 2 Dy 3.58
Dy: 0.3178 0.8815 0.5000  2 Tb 3.25-3.29, 2 Dy 3.58
Dy: 0.4256 0.1378 0.0000  6 Tb 3.46-3.68, 1 Ac 3.58, 4 Dy 3.58-3.65
Dy: 0.4403 0.4253 0.0000  5 Dy 3.36-3.69, 6 Tb 3.46-3.63
Dy: 0.5597 0.5747 0.0000  5 Dy 3.36-3.69, 6 Tb 3.46-3.63
Dy: 0.5744 0.8622 0.0000  6 Tb 3.46-3.68, 1 Ac 3.58, 4 Dy 3.58-3.65
Dy: 0.6822 0.1185 0.5000  2 Tb 3.25-3.29, 2 Dy 3.58
Dy: 0.8178 0.6185 0.5000  2 Tb 3.25-3.29, 2 Dy 3.58
Dy: 0.9256 0.3622 0.0000  6 Tb 3.46-3.68, 1 Ac 3.58, 4 Dy 3.58-3.65
Dy: 0.9403 0.0747 0.0000  5 Dy 3.36-3.69, 6 Tb 3.46-3.63